1.
Here is a geometry-optimized K2SnC2 structure from the Alexandria database. Energies are from PBE.

Structure (extended XYZ):
```
10
Lattice="5.194 0.000 0.000 0.000 5.194 0.000 0.000 0.000 9.611" Properties=species:S:1:pos:R:3 pbc="T T T"
K 0.000 0.000 1.458
K 0.000 0.000 8.153
K 2.597 2.597 3.347
K 2.597 2.597 6.264
Sn 0.000 0.000 4.805
Sn 2.597 2.597 0.000
C 0.000 2.597 2.403
C 0.000 2.597 7.208
C 2.597 0.000 2.403
C 2.597 0.000 7.208
```

Summary:
formation enthalpy at 0 K	212	kJ/mol of atoms
space-group type	No. 139
excess energy over the best structure of this formula in the dataset	0.142	eV/atom
D(E_F)	11.95	states/eV/cell

***

2.
Here is a geometry-optimized KSn3C structure from the Alexandria database. Energies are from PBE.

Structure (extended XYZ):
```
5
Lattice="5.982 0.000 0.000 0.000 5.982 0.000 0.000 0.000 5.982" Properties=species:S:1:pos:R:3 pbc="T T T"
K 0.000 0.000 0.000
Sn 0.000 0.000 2.991
Sn 0.000 2.991 0.000
Sn 2.991 0.000 0.000
C 2.991 2.991 2.991
```

Summary:
formation enthalpy at 0 K	236	kJ/mol of atoms
space-group type	No. 221
excess energy over the best structure of this formula in the dataset	1.643	eV/atom
D(E_F)	5.30	states/eV/cell

***

3.
Here is a geometry-optimized K4Sn2C structure from the Alexandria database. Energies are from PBE.

Structure (extended XYZ):
```
14
Lattice="6.607 0.000 0.000 0.000 6.607 0.000 0.000 0.000 15.599" Properties=species:S:1:pos:R:3 pbc="T T T"
K 0.000 0.000 2.859
K 0.000 0.000 12.740
K 0.000 3.304 0.000
K 0.000 3.304 7.799
K 3.304 0.000 0.000
K 3.304 0.000 7.799
K 3.304 3.304 4.941
K 3.304 3.304 10.658
Sn 0.000 0.000 6.437
Sn 0.000 0.000 9.162
Sn 3.304 3.304 1.362
Sn 3.304 3.304 14.237
C 0.000 0.000 0.000
C 3.304 3.304 7.799
```

Summary:
formation enthalpy at 0 K	60	kJ/mol of atoms
space-group type	No. 139
D(E_F)	4.19	states/eV/cell

***

4.
Here is a geometry-optimized K2SnC2 structure from the Alexandria database. Energies are from PBE.

Structure (extended XYZ):
```
10
Lattice="8.521 0.000 0.000 0.000 8.521 0.000 0.000 0.000 3.114" Properties=species:S:1:pos:R:3 pbc="T T T"
K 1.084 3.176 0.000
K 3.176 7.437 0.000
K 5.344 1.084 0.000
K 7.437 5.344 0.000
Sn 0.000 0.000 0.000
Sn 4.260 4.260 0.000
C 1.481 5.742 1.557
C 2.779 1.481 1.557
C 5.742 7.039 1.557
C 7.039 2.779 1.557
```

Summary:
formation enthalpy at 0 K	198	kJ/mol of atoms
space-group type	No. 127
excess energy over the best structure of this formula in the dataset	0.000	eV/atom
D(E_F)	3.68	states/eV/cell